The following is a DFT calculation (GGA-PBE) of a geometry-optimized Mn5Mo structure.

- VASP energy: -56.03 eV/cell
- Energy above the lowest structure with this stoichiometry: 85 meV per atom
- Energy of formation from the pure elements: 108 meV per atom
- Theoretical density: 8636 kg/m3
- Magnetic moment: 0.14 μB per atom

Lattice parameters (Å, degrees): 5.7679 5.7679 3.5759 90.00 90.00 143.20
With the nearest neighbours (Å) after each atom.
Element x y z (fractional)
Mn 0.3226 0.6774 0.5000  10 Mn 2.39-2.66, 2 Mo 2.64
Mn 0.1782 0.8218 0.0000  10 Mn 2.39-2.65, 2 Mo 2.67
Mn 0.0000 0.0000 0.5000  4 Mo 2.55, 8 Mn 2.65-2.66
Mn 0.8218 0.1782 0.0000  10 Mn 2.39-2.65, 2 Mo 2.67
Mn 0.6774 0.3226 0.5000  10 Mn 2.39-2.66, 2 Mo 2.64
Mo 0.5000 0.5000 0.0000  12 Mn 2.55-2.67

---

The following is a DFT calculation (GGA-PBE) of a geometry-optimized Zr2TlTe structure.

- VASP energy: -23.66 eV/cell
- Energy above the lowest structure with this stoichiometry: 87 meV per atom
- Theoretical density: 9158 kg/m3
- Magnetic moment: 0.00 μB per atom

Lattice parameters (Å, degrees): 7.1098 5.2085 3.5270 84.53 69.12 124.19
With the nearest neighbours (Å) after each atom.
Element x y z (fractional)
Te 0.0000 0.5000 0.5000  8 Zr 3.00-3.28, 2 Tl 3.36
Tl 0.5000 0.5000 0.0000  8 Zr 3.00-3.28, 2 Te 3.36
Zr 0.0000 0.0000 0.0000  4 Te 3.00-3.28, 4 Tl 3.00-3.28, 2 Zr 3.36
Zr 0.5000 0.0000 0.5000  4 Tl 3.00-3.28, 4 Te 3.00-3.28, 2 Zr 3.36

---

The following is a DFT calculation (GGA-PBE) of a geometry-optimized Ti2InPb2 structure.

- VASP energy: -49.93 eV/cell
- Energy above the lowest structure with this stoichiometry: 138 meV per atom
- Energy of formation from the pure elements: 196 meV per atom
- Theoretical density: 8820 kg/m3
- Magnetic moment: 0.17 μB per atom

Lattice parameters (Å, degrees): 8.6551 8.6551 3.1414 90.00 90.00 90.00
With the nearest neighbours (Å) after each atom.
Element x y z (fractional)
Pb 0.3270 0.8270 0.0000  6 Ti 3.00-3.01, 2 Pb 3.14, 2 In 3.20
Pb 0.8270 0.6730 0.0000  6 Ti 3.00-3.01, 2 Pb 3.14, 2 In 3.20
Pb 0.6730 0.1730 0.0000  6 Ti 3.00-3.01, 2 Pb 3.14, 2 In 3.20
Pb 0.1730 0.3270 0.0000  6 Ti 3.00-3.01, 2 Pb 3.14, 2 In 3.20
Ti 0.1178 0.6178 0.5000  3 Ti 2.88-3.14, 6 Pb 3.00-3.01
Ti 0.6178 0.8822 0.5000  3 Ti 2.88-3.14, 6 Pb 3.00-3.01
Ti 0.8822 0.3822 0.5000  3 Ti 2.88-3.14, 6 Pb 3.00-3.01
Ti 0.3822 0.1178 0.5000  3 Ti 2.88-3.14, 6 Pb 3.00-3.01
In 0.0000 0.0000 0.0000  2 In 3.14, 4 Pb 3.20
In 0.5000 0.5000 0.0000  2 In 3.14, 4 Pb 3.20

---

The following is a DFT calculation (GGA-PBE) of a geometry-optimized BeAl2F structure.

- VASP energy: -28.53 eV/cell
- Energy above the lowest structure with this stoichiometry: 0 meV per atom
- Theoretical density: 2081 kg/m3
- Magnetic moment: 0.00 μB per atom

Lattice parameters (Å, degrees): 4.6951 4.6951 6.7990 69.80 69.80 90.00
With the nearest neighbours (Å) after each atom.
Element x y z (fractional)
Be 0.5000 0.5000 0.0000  4 Al 2.34
Be 0.2500 0.7500 0.5000  4 Al 2.34
Al 0.6697 0.1250 0.2500  2 F 2.12, 2 Be 2.34
Al 0.0803 0.6250 0.2500  2 F 2.12, 2 Be 2.34
Al 0.3750 0.3303 0.7500  2 F 2.12, 2 Be 2.34
Al 0.8750 0.9197 0.7500  2 F 2.12, 2 Be 2.34
F 0.0000 0.0000 0.0000  4 Al 2.12
F 0.7500 0.2500 0.5000  4 Al 2.12

---

The following is a DFT calculation (GGA-PBE) of a geometry-optimized Tm3TaCl2O6 structure.

- VASP energy: -93.19 eV/cell
- Theoretical density: 7229 kg/m3
- Magnetic moment: 0.00 μB per atom

Lattice parameters (Å, degrees): 5.4578 6.4589 6.5274 119.65 80.49 90.00
With the nearest neighbours (Å) after each atom.
Element x y z (fractional)
Tm 0.0000 0.5000 0.0000  4 O 2.34, 2 Cl 2.62
Tm 0.5000 0.5000 0.5000  4 O 2.14-2.25
Tm 0.5000 0.0000 0.5000  4 O 2.14-2.25
Ta 0.5000 0.0000 0.0000  6 O 1.99-2.09
Cl 0.1569 0.7041 0.4081  3 Tm 2.60-2.62, 1 O 2.76
Cl 0.8431 0.2959 0.5919  3 Tm 2.60-2.62, 1 O 2.76
O 0.7057 0.2974 0.1173  1 Ta 2.09, 2 Tm 2.25-2.34
O 0.2943 0.7026 0.8827  1 Ta 2.09, 2 Tm 2.25-2.34
O 0.6709 0.8286 0.6572  1 Ta 1.99, 2 Tm 2.14
O 0.3291 0.1714 0.3428  1 Ta 1.99, 2 Tm 2.14
O 0.2943 0.1800 0.8827  1 Ta 2.09, 2 Tm 2.25-2.34
O 0.7057 0.8200 0.1173  1 Ta 2.09, 2 Tm 2.25-2.34

---

The following is a DFT calculation (GGA-PBE) of a geometry-optimized ThTl2Pd8 structure.

- VASP energy: -58.33 eV/cell
- Energy above the lowest structure with this stoichiometry: 0 meV per atom
- Energy of formation from the pure elements: -422 meV per atom
- Theoretical density: 12244 kg/m3
- Magnetic moment: 0.00 μB per atom

Lattice parameters (Å, degrees): 5.4283 5.3877 7.0890 97.36 97.88 95.37
With the nearest neighbours (Å) after each atom.
Element x y z (fractional)
Th 0.5000 0.0000 0.0000  8 Pd 2.76-3.06
Tl 0.1821 0.6423 0.3384  9 Pd 2.77-2.96
Tl 0.8179 0.3577 0.6616  9 Pd 2.77-2.96
Pd 0.6406 0.5147 0.2008  7 Pd 2.79-3.10, 2 Tl 2.90-2.95, 1 Th 2.93
Pd 0.1427 0.9515 0.6774  1 Th 2.76, 8 Pd 2.77-3.04, 2 Tl 2.79-2.94
Pd 0.3739 0.1827 0.3985  7 Pd 2.79-3.10, 3 Tl 2.83-2.96, 1 Th 3.06
Pd 0.9456 0.7419 0.9698  7 Pd 2.75-3.05, 2 Tl 2.77-2.89, 1 Th 2.92
Pd 0.6261 0.8173 0.6015  7 Pd 2.79-3.10, 3 Tl 2.83-2.96, 1 Th 3.06
Pd 0.8573 0.0485 0.3226  1 Th 2.76, 8 Pd 2.77-3.04, 2 Tl 2.79-2.94
Pd 0.3594 0.4853 0.7992  7 Pd 2.79-3.10, 2 Tl 2.90-2.95, 1 Th 2.93
Pd 0.0544 0.2581 0.0302  7 Pd 2.75-3.05, 2 Tl 2.77-2.89, 1 Th 2.92

---

The following is a DFT calculation (GGA-PBE) of a geometry-optimized Nd2Ni3PdPt12 structure.

- VASP energy: -103.14 eV/cell
- Energy of formation from the pure elements: 79 meV per atom
- Theoretical density: 13385 kg/m3
- Magnetic moment: 0.24 μB per atom

Lattice parameters (Å, degrees): 7.8475 7.8475 7.8475 62.57 62.57 62.57
With the nearest neighbours (Å) after each atom.
Element x y z (fractional)
Nd 0.6124 0.6124 0.6124  6 Pt 2.81-2.85
Nd 0.3876 0.3876 0.3876  6 Pt 2.81-2.85
Ni 0.5000 0.0000 0.0000  6 Pt 2.41-2.42
Ni 0.0000 0.5000 0.0000  6 Pt 2.41-2.42
Ni 0.0000 0.0000 0.5000  6 Pt 2.41-2.42
Pd 0.0000 0.0000 0.0000  6 Pt 2.56
Pt 0.3657 0.3657 0.8896  2 Ni 2.42
Pt 0.8648 0.8648 0.3862  1 Ni 2.41, 1 Pd 2.56
Pt 0.3862 0.8648 0.8648  1 Ni 2.41, 1 Pd 2.56
Pt 0.8896 0.3657 0.3657  2 Ni 2.42
Pt 0.8648 0.3862 0.8648  1 Ni 2.41, 1 Pd 2.56
Pt 0.3657 0.8896 0.3657  2 Ni 2.42
Pt 0.6343 0.6343 0.1104  2 Ni 2.42
Pt 0.1352 0.1352 0.6138  1 Ni 2.41, 1 Pd 2.56
Pt 0.6138 0.1352 0.1352  1 Ni 2.41, 1 Pd 2.56
Pt 0.1104 0.6343 0.6343  2 Ni 2.42
Pt 0.1352 0.6138 0.1352  1 Ni 2.41, 1 Pd 2.56
Pt 0.6343 0.1104 0.6343  2 Ni 2.42

---

The following is a DFT calculation (GGA-PBE) of a geometry-optimized PrDySc2S4 structure.

- VASP energy: -53.85 eV/cell
- Theoretical density: 5356 kg/m3
- Magnetic moment: 0.00 μB per atom

Lattice parameters (Å, degrees): 3.7993 6.7610 6.6504 71.18 90.00 90.00
With the nearest neighbours (Å) after each atom.
Element x y z (fractional)
Pr 0.5000 0.5000 0.0000  6 S 2.85
Dy 0.0000 0.5000 0.5000  6 S 2.79
Sc 0.0000 0.0000 0.0000  6 S 2.67
Sc 0.5000 0.0000 0.5000  6 S 2.60
S 0.0000 0.7780 0.7326  3 Sc 2.60-2.67, 1 Dy 2.79, 2 Pr 2.85
S 0.0000 0.2220 0.2674  3 Sc 2.60-2.67, 1 Dy 2.79, 2 Pr 2.85
S 0.5000 0.7719 0.2504  3 Sc 2.60-2.67, 2 Dy 2.79, 1 Pr 2.85
S 0.5000 0.2281 0.7496  3 Sc 2.60-2.67, 2 Dy 2.79, 1 Pr 2.85

---

The following is a DFT calculation (GGA-PBE) of a geometry-optimized ScZn2Re structure.

- VASP energy: -20.54 eV/cell
- Energy above the lowest structure with this stoichiometry: 283 meV per atom
- Energy of formation from the pure elements: 196 meV per atom
- Theoretical density: 9266 kg/m3
- Magnetic moment: 0.00 μB per atom

Lattice parameters (Å, degrees): 4.5101 4.5101 4.5101 60.00 60.00 60.00
With the nearest neighbours (Å) after each atom.
Element x y z (fractional)
Re 0.5000 0.5000 0.5000  4 Sc 2.76, 4 Zn 2.76
Sc 0.7500 0.7500 0.7500  4 Re 2.76, 4 Zn 2.76
Zn 0.0000 0.0000 0.0000  4 Zn 2.76, 4 Sc 2.76
Zn 0.2500 0.2500 0.2500  4 Re 2.76, 4 Zn 2.76

---

The following is a DFT calculation (GGA-PBE) of a geometry-optimized CuPSe structure.

- VASP energy: -25.41 eV/cell
- Theoretical density: 4960 kg/m3
- Magnetic moment: 0.00 μB per atom

Lattice parameters (Å, degrees): 3.6283 6.5341 5.0930 105.83 89.99 89.99
With the nearest neighbours (Å) after each atom.
Element x y z (fractional)
Cu 0.1568 0.5828 0.5556  3 P 2.34-2.39
Cu 0.6568 0.0894 0.7648  3 P 2.35-2.37, 1 Se 2.61
P 0.1569 0.9295 0.4855  1 Se 2.20, 3 Cu 2.37-2.39
P 0.6569 0.4427 0.7398  1 Se 2.20, 3 Cu 2.34-2.35
Se 0.6569 0.4350 0.1690  1 P 2.20
Se 0.1569 0.9275 0.0536  1 P 2.20

---

The following is a DFT calculation (GGA-PBE) of a geometry-optimized CsNi3P structure.

- VASP energy: -12.46 eV/cell
- Energy above the lowest structure with this stoichiometry: 1894 meV per atom
- Energy of formation from the pure elements: 2230 meV per atom
- Theoretical density: 5231 kg/m3
- Magnetic moment: 0.00 μB per atom

Lattice parameters (Å, degrees): 4.7611 4.7611 4.7611 90.00 90.00 90.00
With the nearest neighbours (Å) after each atom.
Element x y z (fractional)
Cs 0.0000 0.0000 0.0000  6 Ni 2.38
Ni 0.0000 0.5000 0.0000  2 Cs 2.38
Ni 0.0000 0.0000 0.5000  2 Cs 2.38
Ni 0.5000 0.0000 0.0000  2 Cs 2.38
P 0.5000 0.5000 0.5000  12 Ni 3.37

---

What did the eleventh record say?
The following is a DFT calculation (GGA-PBE) of a geometry-optimized CsNi3P structure.

- VASP energy: -12.46 eV/cell
- Energy above the lowest structure with this stoichiometry: 1894 meV per atom
- Energy of formation from the pure elements: 2230 meV per atom
- Theoretical density: 5231 kg/m3
- Magnetic moment: 0.00 μB per atom

Lattice parameters (Å, degrees): 4.7611 4.7611 4.7611 90.00 90.00 90.00
With the nearest neighbours (Å) after each atom.
Element x y z (fractional)
Cs 0.0000 0.0000 0.0000  6 Ni 2.38
Ni 0.0000 0.5000 0.0000  2 Cs 2.38
Ni 0.0000 0.0000 0.5000  2 Cs 2.38
Ni 0.5000 0.0000 0.0000  2 Cs 2.38
P 0.5000 0.5000 0.5000  12 Ni 3.37